The following is a DFT calculation (GGA+U) of a geometry-optimized Sr3Fe5O12 structure.

a = 11.140 Å, b = 11.140 Å, c = 11.140 Å
α = 109.47°, β = 109.47°, γ = 109.47°
Last column: magnetic moment on the atom in μB.
Positions (direct):
Fe 0.000 0.000 0.000  4.11
O 0.512 0.190 0.113  0.09
O 0.898 0.822 0.512  0.09
Fe 0.000 0.500 0.000  4.11
O 0.898 0.077 0.887  0.09
O 0.398 0.387 0.577  0.09
Sr 0.750 0.875 0.625  0.01
O 0.613 0.602 0.923  0.09
Fe 0.250 0.875 0.125  4.09
O 0.690 0.113 0.012  0.09
O 0.322 0.512 0.398  0.09
Fe 0.750 0.125 0.875  4.09
O 0.678 0.488 0.602  0.09
O 0.923 0.822 0.810  0.09
O 0.988 0.387 0.310  0.09
Fe 0.875 0.250 0.625  4.09
Fe 0.375 0.125 0.750  4.09
O 0.190 0.512 0.613  0.09
O 0.322 0.810 0.423  0.09
O 0.012 0.398 0.822  0.09
O 0.822 0.923 0.310  0.09
Fe 0.125 0.750 0.375  4.09
Fe 0.500 0.500 0.000  4.11
O 0.423 0.113 0.602  0.09
O 0.423 0.310 0.322  0.09
Fe 0.875 0.625 0.750  4.09
O 0.077 0.898 0.387  0.09
Sr 0.875 0.125 0.250  0.01
O 0.678 0.190 0.577  0.09
O 0.310 0.887 0.988  0.09
Fe 0.000 0.000 0.500  4.11
Fe 0.625 0.750 0.875  4.09
Fe 0.750 0.625 0.375  4.09
O 0.387 0.398 0.077  0.09
Sr 0.875 0.750 0.125  0.01
O 0.602 0.988 0.678  0.09
O 0.602 0.613 0.423  0.09
O 0.887 0.310 0.488  0.09
O 0.102 0.923 0.113  0.09
O 0.577 0.690 0.678  0.09
O 0.488 0.678 0.102  0.09
Sr 0.625 0.375 0.750  0.01
Sr 0.750 0.375 0.125  0.01
Sr 0.375 0.750 0.625  0.01
O 0.113 0.690 0.512  0.09
O 0.102 0.178 0.488  0.09
Fe 0.250 0.375 0.625  4.09
O 0.923 0.102 0.613  0.09
Sr 0.125 0.875 0.750  0.01
O 0.077 0.178 0.190  0.09
O 0.690 0.577 0.178  0.09
Fe 0.500 0.500 0.500  4.11
Fe 0.125 0.375 0.250  4.09
O 0.178 0.102 0.988  0.09
O 0.577 0.887 0.398  0.09
O 0.488 0.810 0.887  0.09
O 0.613 0.012 0.190  0.09
O 0.012 0.613 0.690  0.09
Fe 0.500 0.000 0.500  4.11
Sr 0.250 0.625 0.875  0.01
O 0.387 0.988 0.810  0.09
Sr 0.125 0.250 0.875  0.01
O 0.190 0.678 0.077  0.09
Sr 0.375 0.625 0.250  0.01
O 0.810 0.488 0.387  0.09
O 0.988 0.602 0.178  0.09
O 0.310 0.423 0.822  0.09
Fe 0.500 0.000 0.000  4.11
Sr 0.250 0.125 0.375  0.01
Fe 0.375 0.250 0.125  4.09
O 0.887 0.577 0.898  0.09
O 0.178 0.077 0.690  0.09
O 0.512 0.322 0.898  0.09
O 0.113 0.423 0.102  0.09
Fe 0.000 0.500 0.500  4.11
O 0.810 0.322 0.923  0.09
O 0.398 0.012 0.322  0.09
O 0.822 0.898 0.012  0.09
Fe 0.625 0.875 0.250  4.09
Sr 0.625 0.250 0.375  0.01

Properties
Fermi-level density of states (states/eV per cell): 22.327
Space group: No. 230
Total DFT energy (no corrections) (eV per atom): -6.38
V (Å³ per cell): 1064.3